Record 1
Below is a relaxed structure of BaTaW2, with properties calculated at the PBE level.

Summary:
E_form   982.9 meV/atom
Crystal system   monoclinic
Polymorph energy (0 for the lowest one)   230 meV/atom

Cell: 9.446 3.303 6.822 Å, 90.00 95.51 90.00°
Space group C2/m (No. 12)
Symmetry-distinct sites (fractional):
1 Ba 0.000 0.000 0.000 [2 per cell]
2 Ta 0.000 0.500 0.500 [2 per cell]
3 W 0.236 0.000 0.632 [4 per cell]


Record 2
Below is a relaxed structure of LiBi3Cl2O4, with properties calculated at the PBE level.

Summary:
Crystal system   orthorhombic
Energy relative to the elements, uncorrected   -1.40 eV per atom
Polymorph energy (0 for the lowest one)   5 meV/atom

Cell: 5.514 5.514 12.416 Å, 90.00 90.00 90.00°
Space group Amm2 (No. 38)
Symmetry-distinct sites (fractional):
1 Li 0.000 0.000 0.000 [2 per cell]
2 Bi 0.000 0.000 0.356 [2 per cell]
3 Bi 0.500 0.000 0.545 [2 per cell]
4 Bi 0.500 0.000 0.860 [2 per cell]
5 Cl 0.000 0.000 0.722 [2 per cell]
6 Cl 0.500 0.000 0.209 [2 per cell]
7 O 0.252 0.247 0.452 [8 per cell]


Record 3
Below is a relaxed structure of CuSi2, with properties calculated at the PBE level.

Summary:
Crystal system   tetragonal
Energy relative to the elements, uncorrected   0.26 eV per atom

Cell: 2.649 2.649 23.621 Å, 90.00 90.00 90.00°
Space group I4_1/amd (No. 141, origin choice 2)
Symmetry-distinct sites (fractional):
1 Cu 0.000 0.250 0.375 [4 per cell]
2 Si 0.000 0.250 0.797 [8 per cell]


Record 4
Below is a relaxed structure of AcSiRh3, with properties calculated at the PBE level.

Summary:
Crystal system   orthorhombic
Energy relative to the elements, uncorrected   -0.69 eV per atom

Cell: 6.483 9.168 6.478 Å, 90.00 90.00 90.00°
Space group Imma (No. 74)
Symmetry-distinct sites (fractional):
1 Ac 0.000 0.250 0.009 [4 per cell]
2 Si 0.000 0.000 0.500 [4 per cell]
3 Rh 0.000 0.250 0.515 [4 per cell]
4 Rh 0.250 0.007 0.750 [8 per cell]